Entry 1:
# Sr2O2F5 | Alexandria via LeMat-Bulk | PBE-GGA | optimized geometry
# * raw formation energy: -211 kJ per mole of atoms
data_Sr2O2F5
_chemical_formula_sum 'Sr2 O2 F5'
_cell_length_a 4.6458
_cell_length_b 5.7825
_cell_length_c 6.8022
_cell_angle_alpha 93.03
_cell_angle_beta 105.37
_cell_angle_gamma 100.82
_symmetry_space_group_name_H-M 'P -1'
_symmetry_Int_Tables_number 2
_symmetry_space_group_name_Hall '-P 1'
loop_
_atom_site_label
_atom_site_fract_x
_atom_site_fract_y
_atom_site_fract_z
_atom_site_occupancy
Sr1 0.1281 0.3074 0.3192 1
O1 0.0047 0.3256 0.9150 1
F1 0.0000 0.0000 0.5000 1
F2 0.2683 0.8526 0.1001 1
F3 0.3296 0.5857 0.6296 1

Entry 2:
# SrOF3 | Alexandria via LeMat-Bulk | PBE-GGA | optimized geometry
# * raw formation energy: -223 kJ per mole of atoms
data_SrOF3
_chemical_formula_sum 'Sr4 O4 F12'
_cell_length_a 4.5935
_cell_length_b 7.5947
_cell_length_c 11.9774
_cell_angle_alpha 90.00
_cell_angle_beta 111.31
_cell_angle_gamma 90.00
_symmetry_space_group_name_H-M 'P 1 2/c 1'
_symmetry_Int_Tables_number 13
_symmetry_space_group_name_Hall '-P 2yc'
loop_
_atom_site_label
_atom_site_fract_x
_atom_site_fract_y
_atom_site_fract_z
_atom_site_occupancy
Sr1 0.1063 0.2322 0.1041 1
O1 0.3713 0.1949 0.7513 1
F1 0.0495 0.0971 0.5978 1
F2 0.2274 0.4717 0.5344 1
F3 0.3266 0.2271 0.3267 1

Entry 3:
# SrO2F2 | Alexandria via LeMat-Bulk | PBE-GGA | optimized geometry
# * N(E_F): 1.834 states/eV per atom
# * raw formation energy: -96 kJ per mole of atoms
data_SrO2F2
_chemical_formula_sum 'Sr1 O2 F2'
_cell_length_a 4.7019
_cell_length_b 4.7019
_cell_length_c 5.3323
_cell_angle_alpha 90.00
_cell_angle_beta 90.00
_cell_angle_gamma 90.00
_symmetry_space_group_name_H-M 'P 4/m m m'
_symmetry_Int_Tables_number 123
_symmetry_space_group_name_Hall '-P 4 2'
loop_
_atom_site_label
_atom_site_fract_x
_atom_site_fract_y
_atom_site_fract_z
_atom_site_occupancy
Sr1 0.0000 0.0000 0.0000 1
O1 0.0000 0.0000 0.5000 1
O2 0.5000 0.5000 0.5000 1
F1 0.0000 0.5000 0.0000 1

Entry 4:
# SrOF3 | Alexandria via LeMat-Bulk | PBE-GGA | optimized geometry
# * N(E_F): 0.320 states/eV per atom
# * raw formation energy: -161 kJ per mole of atoms
data_SrOF3
_chemical_formula_sum 'Sr1 O1 F3'
_cell_length_a 4.0294
_cell_length_b 4.0294
_cell_length_c 4.0294
_cell_angle_alpha 90.00
_cell_angle_beta 90.00
_cell_angle_gamma 90.00
_symmetry_space_group_name_H-M 'P m -3 m'
_symmetry_Int_Tables_number 221
_symmetry_space_group_name_Hall '-P 4 2 3'
loop_
_atom_site_label
_atom_site_fract_x
_atom_site_fract_y
_atom_site_fract_z
_atom_site_occupancy
Sr1 0.0000 0.0000 0.0000 1
O1 0.5000 0.5000 0.5000 1
F1 0.0000 0.5000 0.5000 1

Entry 5:
# Sr2OF2 | Alexandria via LeMat-Bulk | PBE-GGA | optimized geometry
# * N(E_F): 0.000 states/eV per atom
# * raw formation energy: -323 kJ per mole of atoms
data_Sr2OF2
_chemical_formula_sum 'Sr8 O4 F8'
_cell_length_a 9.3317
_cell_length_b 6.3223
_cell_length_c 6.3515
_cell_angle_alpha 90.00
_cell_angle_beta 92.43
_cell_angle_gamma 90.00
_symmetry_space_group_name_H-M 'P 1 21/c 1'
_symmetry_Int_Tables_number 14
_symmetry_space_group_name_Hall '-P 2ybc'
loop_
_atom_site_label
_atom_site_fract_x
_atom_site_fract_y
_atom_site_fract_z
_atom_site_occupancy
Sr1 0.1076 0.0170 0.2880 1
Sr2 0.3564 0.5147 0.2483 1
O1 0.1256 0.1318 0.6528 1
F1 0.2339 0.7059 0.5244 1
F2 0.4653 0.2382 0.4893 1

Entry 6:
# SrTaOF2 | Alexandria via LeMat-Bulk | PBE-GGA | optimized geometry
# * N(E_F): 0.431 states/eV per atom
# * raw formation energy: -201 kJ per mole of atoms
data_SrTaOF2
_chemical_formula_sum 'Sr1 Ta1 O1 F2'
_cell_length_a 4.5439
_cell_length_b 4.5439
_cell_length_c 4.0264
_cell_angle_alpha 90.00
_cell_angle_beta 90.00
_cell_angle_gamma 90.00
_symmetry_space_group_name_H-M 'P 4/m m m'
_symmetry_Int_Tables_number 123
_symmetry_space_group_name_Hall '-P 4 2'
loop_
_atom_site_label
_atom_site_fract_x
_atom_site_fract_y
_atom_site_fract_z
_atom_site_occupancy
Sr1 0.0000 0.0000 0.0000 1
Ta1 0.5000 0.5000 0.5000 1
O1 0.5000 0.5000 0.0000 1
F1 0.0000 0.5000 0.5000 1

Entry 7:
# Sr3Ta4O12F2 | Alexandria via LeMat-Bulk | PBE-GGA | optimized geometry
# * N(E_F): 0.000 states/eV per atom
# * raw formation energy: -303 kJ per mole of atoms
data_Sr3Ta4O12F2
_chemical_formula_sum 'Sr9 Ta12 O36 F6'
_cell_length_a 7.6041
_cell_length_b 7.6041
_cell_length_c 18.1785
_cell_angle_alpha 90.00
_cell_angle_beta 90.00
_cell_angle_gamma 120.00
_symmetry_space_group_name_H-M 'R -3 m'
_symmetry_Int_Tables_number 166
_symmetry_space_group_name_Hall '-R 3 2"'
loop_
_atom_site_label
_atom_site_fract_x
_atom_site_fract_y
_atom_site_fract_z
_atom_site_occupancy
Sr1 0.0000 0.5000 0.0000 1
Ta1 0.0000 0.0000 0.0000 1
Ta2 0.0000 0.5000 0.5000 1
O1 0.0785 0.5392 0.6069 1
O2 0.0918 0.5459 0.8558 1
F1 0.0000 0.0000 0.3750 1

Entry 8:
# SrTaOF2 | Alexandria via LeMat-Bulk | PBE-GGA | optimized geometry
# * N(E_F): 1.723 states/eV per atom
# * raw formation energy: -94 kJ per mole of atoms
data_SrTaOF2
_chemical_formula_sum 'Sr1 Ta1 O1 F2'
_cell_length_a 4.4217
_cell_length_b 4.4217
_cell_length_c 5.0008
_cell_angle_alpha 90.00
_cell_angle_beta 90.00
_cell_angle_gamma 90.00
_symmetry_space_group_name_H-M 'P 4/m m m'
_symmetry_Int_Tables_number 123
_symmetry_space_group_name_Hall '-P 4 2'
loop_
_atom_site_label
_atom_site_fract_x
_atom_site_fract_y
_atom_site_fract_z
_atom_site_occupancy
Sr1 0.0000 0.0000 0.0000 1
Ta1 0.5000 0.5000 0.5000 1
O1 0.0000 0.0000 0.5000 1
F1 0.0000 0.5000 0.0000 1

- Among the records above, which one has the highest raw formation energy?
  number 8

- What is the raw formation energy in the third record?
  -96 kJ per mole of atoms

- Among the records above, which one has the highest raw formation energy?
  number 8